BaEuW4O12 | PBE+U | relaxed

Unit cell a=5.6316 b=5.6316 c=8.1145 alpha=90.00 beta=90.00 gamma=90.00
Space group P4/mmm (No. 123)
One atom of each set of equivalent atoms:
Ba  0.0000  0.0000  0.0000 x1
Eu  0.5000  0.5000  0.5000 x1
W  0.0000  0.5000  0.2519 x4
O  0.0000  0.5000  0.0000 x2
O  0.0000  0.5000  0.5000 x2
O  0.2573  0.2573  0.2565 x8

Summary:
M_tot, μB/f.u.: 11.0
E, eV/atom: -7.80